[1]
DFT (GGA-PBE) results for a geometry-optimized Ce3Tc2Ge3 structure.

Geometry as extended XYZ:
```
8
Lattice="-2.0518 2.3020 8.9025 2.0518 -2.3020 8.9025 2.0518 2.3020 -8.9025" Properties=species:S:1:pos:R:3 pbc="T T T"
Ce 0.0000 0.0000 0.0000
Ce 2.0518 0.0000 6.4546
Ce 0.0000 2.3020 2.4479
Tc 0.0000 0.0000 4.5198
Tc 0.0000 0.0000 13.2852
Ge 2.0518 0.0000 3.0193
Ge 0.0000 0.0000 8.9025
Ge 0.0000 2.3020 5.8832
```



[2]
DFT (GGA-PBE) results for a geometry-optimized Ce2TcGe structure.

Geometry as extended XYZ:
```
4
Lattice="4.4833 0.0000 0.0000 0.0000 4.4833 0.0000 0.0000 0.0000 4.1308" Properties=species:S:1:pos:R:3 pbc="T T T"
Ce 0.0000 2.2416 0.0000
Ce 2.2416 0.0000 0.0000
Tc 0.0000 0.0000 2.0654
Ge 2.2416 2.2416 2.0654
```



[3]
DFT (GGA-PBE) results for a geometry-optimized Ce3Tc5Ge2 structure.

Geometry as extended XYZ:
```
20
Lattice="-5.6670 5.9898 2.9520 5.6670 -5.9898 2.9520 5.6670 5.9898 -2.9520" Properties=species:S:1:pos:R:3 pbc="T T T"
Ce 8.1785 1.4701 0.0000
Ce 0.0000 0.0000 1.4760
Ce 2.5114 4.5196 0.0000
Ce 3.1556 1.4701 2.9520
Ce 0.0000 0.0000 4.4279
Ce -2.5114 4.5196 2.9520
Tc 5.6670 3.4419 -1.4760
Tc 4.5352 1.6655 0.0000
Tc 5.6670 0.0000 1.4760
Tc 4.5352 -1.6655 2.9520
Tc 0.0000 2.5478 1.4760
Tc 5.6670 3.4419 1.4760
Tc 1.1318 7.6552 0.0000
Tc 0.0000 5.9898 1.4760
Tc 1.1318 4.3243 2.9520
Tc 0.0000 2.5478 4.4279
Ge 2.0338 1.5616 0.0000
Ge 2.0338 -1.5616 2.9520
Ge 3.6332 7.5514 0.0000
Ge 3.6332 4.4282 2.9520
```



| no. | DFT total energy (eV per atom) |
| --- | --- |
| 1 | -7.0110 |
| 2 | -7.0731 |
| 3 | -8.0813 |